No. 1
The following is a GGA-PBEsol calculation of an optimized crystal structure of K2Nb3Br9, from the Alexandria database.

POSCAR file:
```
K2Nb3Br9
1.0
5.270 -8.654 0.000
5.270 8.654 0.000
-4.245 0.000 9.067
K Nb Br
4 6 18
direct
0.054 0.732 0.671
0.268 0.946 0.329
0.732 0.054 0.671
0.946 0.268 0.329
0.285 0.455 0.863
0.383 0.383 0.124
0.455 0.285 0.863
0.545 0.715 0.137
0.617 0.617 0.876
0.715 0.545 0.137
0.006 0.606 0.324
0.093 0.303 0.985
0.179 0.179 0.665
0.227 0.227 0.289
0.291 0.709 0.000
0.303 0.093 0.985
0.379 0.587 0.681
0.394 0.994 0.676
0.413 0.621 0.319
0.587 0.379 0.681
0.606 0.006 0.324
0.621 0.413 0.319
0.697 0.907 0.015
0.709 0.291 0.000
0.773 0.773 0.711
0.821 0.821 0.335
0.907 0.697 0.015
0.994 0.394 0.676
```

M_tot = 0.00 μB/f.u.
density = 4.3 Mg/m³
uncorrected formation energy = -16.2 eV per formula unit


No. 2
The following is a GGA-PBEsol calculation of an optimized crystal structure of ZrOs2Rh, from the Alexandria database.

POSCAR file:
```
ZrOs2Rh
1.0
2.806 0.000 0.000
0.000 2.806 0.000
0.000 0.000 7.805
Zr Os Rh
1 2 1
direct
0.000 0.000 0.000
0.000 0.000 0.498
0.500 0.500 0.281
0.500 0.500 0.736
```

M_tot = 0.00 μB/f.u.
density = 15.5 Mg/m³
DFT formation energy = -0.111 eV/atom
energy relative to the lowest polymorph listed for this composition = 124.3 meV/atom


No. 3
The following is a GGA-PBEsol calculation of an optimized crystal structure of Ba6Fe3Si8C2Cl3O30, from the Alexandria database.

POSCAR file:
```
Ba6Fe3Si8C2Cl3O30
1.0
10.607 0.000 0.000
-5.304 9.186 0.000
0.000 0.000 7.103
Ba Fe Si C Cl O
6 3 8 2 3 30
direct
0.026 0.513 0.000
0.173 0.347 0.492
0.173 0.827 0.492
0.487 0.513 0.000
0.487 0.974 0.000
0.653 0.827 0.492
0.565 0.130 0.500
0.565 0.435 0.500
0.870 0.435 0.500
0.000 0.000 0.229
0.000 0.000 0.786
0.341 0.170 0.234
0.344 0.172 0.772
0.828 0.172 0.772
0.828 0.656 0.772
0.830 0.170 0.234
0.830 0.659 0.234
0.333 0.667 0.348
0.333 0.667 0.766
0.161 0.322 0.065
0.161 0.839 0.065
0.678 0.839 0.065
0.000 0.000 0.007
0.168 0.084 0.311
0.168 0.084 0.707
0.192 0.596 0.350
0.263 0.526 0.771
0.263 0.737 0.771
0.346 0.173 0.003
0.404 0.596 0.350
0.404 0.808 0.350
0.418 0.083 0.685
0.418 0.335 0.685
0.421 0.086 0.317
0.421 0.335 0.317
0.474 0.737 0.771
0.665 0.083 0.685
0.665 0.086 0.317
0.665 0.579 0.317
0.665 0.582 0.685
0.667 0.333 0.503
0.667 0.333 0.973
0.827 0.173 0.003
0.827 0.654 0.003
0.914 0.335 0.317
0.914 0.579 0.317
0.916 0.084 0.311
0.916 0.084 0.707
0.916 0.832 0.311
0.916 0.832 0.707
0.917 0.335 0.685
0.917 0.582 0.685
```

M_tot = 6.86 μB/f.u.
density = 4.4 Mg/m³
uncorrected formation energy = -121.5 eV per formula unit


No. 4
The following is a GGA-PBEsol calculation of an optimized crystal structure of AlCdOsW2, from the Alexandria database.

POSCAR file:
```
AlCdOsW2
1.0
4.766 0.000 0.000
0.000 4.766 0.000
0.000 0.000 4.613
Al Cd Os W
1 1 1 2
direct
0.000 0.000 0.000
0.500 0.500 0.000
0.000 0.000 0.500
0.000 0.500 0.500
0.500 0.000 0.500
```

M_tot = 0.00 μB/f.u.
density = 11.1 Mg/m³
DFT formation energy = 1.480 eV/atom


No. 5
The following is a GGA-PBEsol calculation of an optimized crystal structure of BaAl3Bi, from the Alexandria database.

POSCAR file:
```
BaAl3Bi
1.0
5.581 0.000 0.000
0.000 5.581 0.000
0.000 0.000 5.581
Ba Al Bi
1 3 1
direct
0.000 0.000 0.000
0.000 0.500 0.500
0.500 0.000 0.500
0.500 0.500 0.000
0.500 0.500 0.500
```

M_tot = 0.00 μB/f.u.
density = 4.1 Mg/m³
DFT formation energy = 0.550 eV/atom


No. 6
The following is a GGA-PBEsol calculation of an optimized crystal structure of ZnSnPS2, from the Alexandria database.

POSCAR file:
```
ZnSnPS2
1.0
4.460 0.000 0.000
0.000 4.460 0.000
0.000 0.000 5.269
Zn Sn P S
1 1 1 2
direct
0.000 0.000 0.000
0.500 0.500 0.000
0.500 0.500 0.500
0.000 0.500 0.500
0.500 0.000 0.500
```

M_tot = 0.00 μB/f.u.
density = 4.4 Mg/m³
uncorrected formation energy = 1.9 eV per formula unit


Short version: E = -4.84; -10.53; -7.50; -7.54; -3.19; -3.70 eV per atom, in the order given.